# Pr2HfCr2N6 (PBE, optimized geometry)
# energy relative to the elements, uncorrected	-935	kJ/mol of formula units
# density of states at the Fermi level	14.12	states/eV/cell
data_Pr2HfCr2N6
_symmetry_space_group_name_H-M 'R -3 m'
_symmetry_Int_Tables_number 166
_symmetry_space_group_name_Hall '-R 3 2"'
_cell_length_a 5.7962
_cell_length_b 5.7962
_cell_length_c 16.3937
_cell_angle_alpha 90.00
_cell_angle_beta 90.00
_cell_angle_gamma 120.00
loop_
_atom_site_label
_atom_site_type_symbol
_atom_site_fract_x
_atom_site_fract_y
_atom_site_fract_z
_atom_site_occupancy
Pr1 Pr 0.0000 0.0000 0.2142 1
Hf1 Hf 0.0000 0.0000 0.0000 1
Cr1 Cr 0.0000 0.0000 0.4342 1
N1 N 0.0082 0.5041 0.7509 1